[1]
First-principles (PBE) data for a relaxed TeMo2P crystal, as listed in Alexandria.

Cell: 4.410 3.144 5.329 Å, 90.00 113.89 90.00°
Space group P2/m (No. 10)
Unique sites:
Te (0.000, 0.000, 0.000) [1 per cell]
Mo (0.500, 0.000, 0.500) [1 per cell]
Mo (0.500, 0.500, 0.000) [1 per cell]
P (0.000, 0.500, 0.500) [1 per cell]

Formation energy (no corrections) in eV/atom: 0.300
Raw total energy in eV per atom: -7.254

[2]
First-principles (PBE) data for a relaxed TeMo2P crystal, as listed in Alexandria.

Cell: 4.163 4.163 7.791 Å, 90.00 90.00 90.00°
Space group I-4m2 (No. 119)
Unique sites:
Te (0.000, 0.000, 0.000) [2 per cell]
Mo (0.000, 0.000, 0.500) [2 per cell]
Mo (0.000, 0.500, 0.750) [2 per cell]
P (0.000, 0.500, 0.250) [2 per cell]

Formation energy (no corrections) in eV/atom: 0.456
Raw total energy in eV per atom: -7.098

[3]
First-principles (PBE) data for a relaxed Te3MoP crystal, as listed in Alexandria.

Cell: 5.223 5.223 5.223 Å, 90.00 90.00 90.00°
Space group Pm-3m (No. 221)
Unique sites:
Te (0.000, 0.000, 0.500) [3 per cell]
Mo (0.000, 0.000, 0.000) [1 per cell]
P (0.500, 0.500, 0.500) [1 per cell]

Formation energy (no corrections) in eV/atom: 0.837
Raw total energy in eV per atom: -4.296

[4]
First-principles (PBE) data for a relaxed TeMo2P crystal, as listed in Alexandria.

Cell: 3.470 5.134 7.996 Å, 90.00 90.00 90.00°
Space group Cmmm (No. 65)
Unique sites:
Te (0.000, 0.000, 0.000) [2 per cell]
Mo (0.000, 0.500, 0.305) [4 per cell]
P (0.000, 0.000, 0.500) [2 per cell]

Formation energy (no corrections) in eV/atom: 0.365
Raw total energy in eV per atom: -7.189